Computed, not measured: a relaxed structure of ErU3Sb4 at the PBE-GGA level of DFT.

a = 8.917 Å, b = 12.351 Å, c = 4.285 Å
α = 90.00°, β = 90.00°, γ = 90.00°
Space group Cmmm (No. 65)
Asymmetric unit:
1 Er 0.000 0.000 0.000
2 U 0.000 0.500 0.000
3 U 0.250 0.250 0.500
4 Sb 0.000 0.249 0.000
5 Sb 0.247 0.000 0.500

## Properties
D(E_F), states/eV/atom: 2.991
Raw formation energy, eV/atom: -0.373
Final energy, eV per atom: -7.238
Crystal system: orthorhombic

Computed, not measured: a relaxed structure of Er8VSb2 at the PBE-GGA level of DFT.

a = 17.657 Å, b = 4.684 Å, c = 7.806 Å
α = 90.00°, β = 109.02°, γ = 90.00°
Space group C2/m (No. 12)
Asymmetric unit:
1 Er 0.034 0.000 0.303
2 Er 0.087 0.500 0.958
3 Er 0.172 0.000 0.761
4 Er 0.173 0.500 0.439
5 V 0.000 0.500 0.500
6 Sb 0.201 0.000 0.176

## Properties
D(E_F), states/eV/atom: 1.089
Raw formation energy, eV/atom: -0.257
Final energy, eV per atom: -5.154
Crystal system: monoclinic

Computed, not measured: a relaxed structure of ErVSb2 at the PBE-GGA level of DFT.

a = 3.4154 Å, b = 3.4154 Å, c = 30.1461 Å
α = 90.00°, β = 90.00°, γ = 120.00°
Space group R-3m (No. 166, hexagonal axes)
Asymmetric unit:
1 Er 0.0000 0.0000 0.0000
2 V 0.0000 0.0000 0.5000
3 Sb 0.0000 0.0000 0.1035

## Properties
D(E_F), states/eV/atom: 0.736
Raw formation energy, eV/atom: 0.042
Final energy, eV per atom: -5.440
Crystal system: trigonal

Computed, not measured: a relaxed structure of YEr5Sb6 at the PBE-GGA level of DFT.

a = 7.554 Å, b = 13.083 Å, c = 7.551 Å
α = 90.00°, β = 109.47°, γ = 90.00°
Space group C2/m (No. 12)
Asymmetric unit:
1 Y 0.000 0.000 0.000
2 Er 0.000 0.166 0.500
3 Er 0.000 0.333 0.000
4 Er 0.000 0.500 0.500
5 Sb 0.248 0.500 0.250
6 Sb 0.249 0.333 0.749

## Properties
D(E_F), states/eV/atom: 0.162
Raw formation energy, eV/atom: -1.106
Final energy, eV per atom: -5.607
Crystal system: monoclinic

Computed, not measured: a relaxed structure of YErSb at the PBE-GGA level of DFT.

a = 3.952 Å, b = 3.952 Å, c = 10.692 Å
α = 90.00°, β = 90.00°, γ = 90.00°
Space group I4mm (No. 107)
Asymmetric unit:
1 Y 0.000 0.000 0.000
2 Er 0.000 0.000 0.692
3 Sb 0.000 0.000 0.344

## Properties
D(E_F), states/eV/atom: 0.645
Raw formation energy, eV/atom: -0.635
Final energy, eV per atom: -5.685
Crystal system: tetragonal

Computed, not measured: a relaxed structure of Y5Er5Sb6 at the PBE-GGA level of DFT.

a = 6.291 Å, b = 15.483 Å, c = 8.952 Å
α = 90.00°, β = 90.00°, γ = 90.00°
Space group Amm2 (No. 38)
Asymmetric unit:
1 Y 0.000 0.000 0.000
2 Y 0.000 0.123 0.628
3 Y 0.500 0.123 0.875
4 Er 0.250 0.167 0.251
5 Er 0.500 0.000 0.504
6 Sb 0.000 0.000 0.362
7 Sb 0.000 0.195 0.947
8 Sb 0.500 0.000 0.143
9 Sb 0.500 0.194 0.556

## Properties
D(E_F), states/eV/atom: 1.001
Raw formation energy, eV/atom: -0.931
Final energy, eV per atom: -5.923
Crystal system: orthorhombic

Computed, not measured: a relaxed structure of Y5ErSb6 at the PBE-GGA level of DFT.

a = 7.597 Å, b = 13.156 Å, c = 7.593 Å
α = 90.00°, β = 109.48°, γ = 90.00°
Space group C2/m (No. 12)
Asymmetric unit:
1 Y 0.000 0.000 0.000
2 Y 0.000 0.166 0.500
3 Y 0.000 0.333 0.000
4 Er 0.000 0.500 0.500
5 Sb 0.249 0.334 0.749
6 Sb 0.249 0.500 0.251

## Properties
D(E_F), states/eV/atom: 0.160
Raw formation energy, eV/atom: -1.154
Final energy, eV per atom: -6.289
Crystal system: monoclinic

Computed, not measured: a relaxed structure of YErSb at the PBE-GGA level of DFT.

a = 5.0295 Å, b = 5.0295 Å, c = 3.9979 Å
α = 90.00°, β = 90.00°, γ = 120.00°
Space group P3m1 (No. 156)
Asymmetric unit:
1 Y 0.0000 0.0000 0.0000
2 Er 0.3333 0.6667 0.5255
3 Sb 0.6667 0.3333 0.3085

## Properties
D(E_F), states/eV/atom: 0.979
Raw formation energy, eV/atom: -0.433
Final energy, eV per atom: -5.483
Crystal system: trigonal

Computed, not measured: a relaxed structure of YErSb2 at the PBE-GGA level of DFT.

a = 4.3469 Å, b = 4.3469 Å, c = 7.4453 Å
α = 90.00°, β = 90.00°, γ = 120.00°
Space group P-3m1 (No. 164)
Asymmetric unit:
1 Y 0.0000 0.0000 0.0000
2 Er 0.0000 0.0000 0.5000
3 Sb 0.3333 0.6667 0.7472

## Properties
D(E_F), states/eV/atom: 0.176
Raw formation energy, eV/atom: -1.067
Final energy, eV per atom: -5.885
Energy above the most stable polymorph in this dataset, meV per atom: 62
Crystal system: trigonal

Computed, not measured: a relaxed structure of Y3Er2Sb2 at the PBE-GGA level of DFT.

a = 12.200 Å, b = 4.218 Å, c = 8.426 Å
α = 90.00°, β = 108.68°, γ = 90.00°
Space group C2/m (No. 12)
Asymmetric unit:
1 Y 0.000 0.000 0.000
2 Y 0.125 0.000 0.446
3 Er 0.133 0.500 0.785
4 Sb 0.176 0.500 0.192

## Properties
D(E_F), states/eV/atom: 1.009
Raw formation energy, eV/atom: -0.642
Final energy, eV per atom: -5.893
Crystal system: monoclinic

Computed, not measured: a relaxed structure of YErSb at the PBE-GGA level of DFT.

a = 16.217 Å, b = 4.281 Å, c = 10.529 Å
α = 90.00°, β = 91.06°, γ = 90.00°
Space group C2/m (No. 12)
Asymmetric unit:
1 Y 0.036 0.000 0.356
2 Y 0.098 0.500 0.854
3 Er 0.194 0.000 0.077
4 Er 0.240 0.000 0.664
5 Sb 0.087 0.500 0.169
6 Sb 0.116 0.500 0.552

## Properties
D(E_F), states/eV/atom: 1.147
Raw formation energy, eV/atom: -0.605
Final energy, eV per atom: -5.654
Crystal system: monoclinic

Computed, not measured: a relaxed structure of YEr2Sb at the PBE-GGA level of DFT.

a = 4.012 Å, b = 4.012 Å, c = 7.060 Å
α = 90.00°, β = 90.00°, γ = 90.00°
Space group P4/mmm (No. 123)
Asymmetric unit:
1 Y 0.000 0.000 0.000
2 Er 0.500 0.500 0.273
3 Sb 0.000 0.000 0.500

## Properties
D(E_F), states/eV/atom: 1.307
Raw formation energy, eV/atom: -0.462
Final energy, eV per atom: -5.390
Energy above the most stable polymorph in this dataset, meV per atom: 99
Crystal system: tetragonal

Computed, not measured: a relaxed structure of YErSb at the PBE-GGA level of DFT.

a = 7.262 Å, b = 4.163 Å, c = 12.922 Å
α = 90.00°, β = 90.02°, γ = 90.00°
Space group C2/m (No. 12)
Asymmetric unit:
1 Y 0.165 0.000 0.107
2 Er 0.165 0.000 0.396
3 Sb 0.167 0.000 0.747

## Properties
D(E_F), states/eV/atom: 0.997
Raw formation energy, eV/atom: -0.448
Final energy, eV per atom: -5.498
Crystal system: monoclinic

Computed, not measured: a relaxed structure of YEr2Sb3 at the PBE-GGA level of DFT.

a = 4.367 Å, b = 6.173 Å, c = 13.100 Å
α = 90.00°, β = 90.00°, γ = 90.00°
Space group Immm (No. 71)
Asymmetric unit:
1 Y 0.000 0.000 0.000
2 Er 0.000 0.000 0.334
3 Sb 0.000 0.500 0.000
4 Sb 0.000 0.500 0.332

## Properties
D(E_F), states/eV/atom: 0.196
Raw formation energy, eV/atom: -1.118
Final energy, eV per atom: -5.777
Crystal system: orthorhombic

Computed, not measured: a relaxed structure of Y2ErSb2 at the PBE-GGA level of DFT.

a = 10.618 Å, b = 11.888 Å, c = 5.821 Å
α = 90.00°, β = 122.93°, γ = 90.00°
Space group C2/c (No. 15)
Asymmetric unit:
1 Y 0.181 0.098 0.404
2 Er 0.000 0.403 0.750
3 Sb 0.000 0.131 0.750
4 Sb 0.000 0.328 0.250

## Properties
D(E_F), states/eV/atom: 1.208
Raw formation energy, eV/atom: -0.634
Final energy, eV per atom: -5.781
Crystal system: monoclinic

Computed, not measured: a relaxed structure of YEr3Sb at the PBE-GGA level of DFT.

a = 10.541 Å, b = 3.959 Å, c = 14.400 Å
α = 90.00°, β = 90.00°, γ = 90.00°
Space group Pnma (No. 62)
Asymmetric unit:
1 Y 0.165 0.250 0.029
2 Er 0.084 0.250 0.425
3 Er 0.114 0.750 0.235
4 Er 0.134 0.750 0.817
5 Sb 0.131 0.250 0.638

## Properties
D(E_F), states/eV/atom: 1.365
Raw formation energy, eV/atom: -0.374
Final energy, eV per atom: -5.229
Crystal system: orthorhombic

Computed, not measured: a relaxed structure of Y3ErSb2 at the PBE-GGA level of DFT.

a = 7.013 Å, b = 14.340 Å, c = 7.626 Å
α = 90.00°, β = 90.00°, γ = 90.00°
Space group Ibam (No. 72)
Asymmetric unit:
1 Y 0.000 0.000 0.250
2 Y 0.000 0.292 0.250
3 Er 0.000 0.500 0.000
4 Sb 0.177 0.146 0.000

## Properties
D(E_F), states/eV/atom: 1.227
Raw formation energy, eV/atom: -0.590
Final energy, eV per atom: -5.956
Energy above the most stable polymorph in this dataset, meV per atom: 238
Crystal system: orthorhombic

Computed, not measured: a relaxed structure of YEr2Sb at the PBE-GGA level of DFT.

a = 4.750 Å, b = 4.750 Å, c = 4.794 Å
α = 90.00°, β = 90.00°, γ = 90.00°
Space group P4/mmm (No. 123)
Asymmetric unit:
1 Y 0.000 0.000 0.000
2 Er 0.000 0.500 0.500
3 Sb 0.500 0.500 0.000

## Properties
D(E_F), states/eV/atom: 1.347
Raw formation energy, eV/atom: -0.453
Final energy, eV per atom: -5.381
Energy above the most stable polymorph in this dataset, meV per atom: 107
Crystal system: tetragonal

Computed, not measured: a relaxed structure of Y3ErSb2 at the PBE-GGA level of DFT.

a = 4.478 Å, b = 4.478 Å, c = 8.461 Å
α = 90.00°, β = 90.00°, γ = 90.00°
Space group P-4m2 (No. 115)
Asymmetric unit:
1 Y 0.000 0.000 0.000
2 Y 0.000 0.500 0.649
3 Er 0.500 0.500 0.000
4 Sb 0.000 0.500 0.279

## Properties
D(E_F), states/eV/atom: 0.767
Raw formation energy, eV/atom: -0.827
Final energy, eV per atom: -6.194
Energy above the most stable polymorph in this dataset, meV per atom: 0
Crystal system: tetragonal

Computed, not measured: a relaxed structure of YEr2Sb at the PBE-GGA level of DFT.

a = 7.585 Å, b = 7.585 Å, c = 7.585 Å
α = 90.00°, β = 90.00°, γ = 90.00°
Space group Fm-3m (No. 225)
Asymmetric unit:
1 Y 0.000 0.000 0.000
2 Er 0.250 0.250 0.250
3 Sb 0.000 0.000 0.500

## Properties
D(E_F), states/eV/atom: 1.079
Raw formation energy, eV/atom: -0.215
Final energy, eV per atom: -5.143
Energy above the most stable polymorph in this dataset, meV per atom: 345
Crystal system: cubic